Record 1
DFT (PBE) results for SmScIn2 after structural relaxation.

Output
The symmetry is P4/mmm, No. 123. The density of states at the Fermi level comes out at 3.51 states/eV/cell. For the total energy, the calculation gives -4.564 eV/atom. As for the formation energy from the elements: -0.43 eV per atom.

The structure in CIF format:
```
data_SmScIn2
_chemical_formula_sum 'Sm1 Sc1 In2'
_symmetry_space_group_name_H-M 'P 1'
_symmetry_Int_Tables_number 1
_cell_length_a 4.790
_cell_length_b 4.790
_cell_length_c 4.421
_cell_angle_alpha 90.00
_cell_angle_beta 90.00
_cell_angle_gamma 90.00
loop_
_symmetry_equiv_pos_as_xyz
'x,y,z'
loop_
_atom_site_label
_atom_site_fract_x
_atom_site_fract_y
_atom_site_fract_z
Sm1 0.000 0.000 0.000
Sc1 0.500 0.500 0.000
In1 0.000 0.500 0.500
In2 0.500 0.000 0.500
```



Record 2
DFT (PBE) results for Ti3Tl3CuSe8 after structural relaxation.

Output
The symmetry is C2/m, No. 12. As for the formation energy from raw total energies: -0.7262 eV per atom. The density of states at the Fermi level comes out at 7.03 states/eV/cell. For the total energy, the calculation gives -4.910 eV/atom.

The structure in CIF format:
```
data_Ti3Tl3CuSe8
_chemical_formula_sum 'Ti3 Tl3 Cu1 Se8'
_symmetry_space_group_name_H-M 'P 1'
_symmetry_Int_Tables_number 1
_cell_length_a 7.473
_cell_length_b 7.473
_cell_length_c 8.924
_cell_angle_alpha 114.77
_cell_angle_beta 114.77
_cell_angle_gamma 59.93
loop_
_symmetry_equiv_pos_as_xyz
'x,y,z'
loop_
_atom_site_label
_atom_site_fract_x
_atom_site_fract_y
_atom_site_fract_z
Ti1 0.000 0.000 0.000
Ti2 0.000 0.500 0.000
Ti3 0.500 0.000 0.000
Tl1 0.000 0.500 0.500
Tl2 0.500 0.000 0.500
Tl3 0.500 0.500 0.500
Cu1 0.500 0.500 0.000
Se1 0.224 0.730 0.184
Se2 0.230 0.230 0.191
Se3 0.269 0.269 0.816
Se4 0.270 0.776 0.816
Se5 0.730 0.224 0.184
Se6 0.731 0.731 0.184
Se7 0.770 0.770 0.809
Se8 0.776 0.270 0.816
```



Record 3
DFT (PBE) results for ZnAg2Mo after structural relaxation.

Output
The symmetry is Cmmm, No. 65. The density of states at the Fermi level comes out at 3.72 states/eV/cell. For the total energy, the calculation gives -4.050 eV/atom. As for the formation energy from the elements: 0.40 eV per atom.

The structure in CIF format:
```
data_ZnAg2Mo
_chemical_formula_sum 'Zn1 Ag2 Mo1'
_symmetry_space_group_name_H-M 'P 1'
_symmetry_Int_Tables_number 1
_cell_length_a 5.245
_cell_length_b 5.245
_cell_length_c 2.669
_cell_angle_alpha 90.00
_cell_angle_beta 90.00
_cell_angle_gamma 114.87
loop_
_symmetry_equiv_pos_as_xyz
'x,y,z'
loop_
_atom_site_label
_atom_site_fract_x
_atom_site_fract_y
_atom_site_fract_z
Zn1 0.000 0.000 0.000
Ag1 0.000 0.500 0.500
Ag2 0.500 0.000 0.500
Mo1 0.500 0.500 0.000
```



Record 4
DFT (PBE) results for AgAsBr2O after structural relaxation.

Output
The symmetry is P4/mmm, No. 123. As for the formation energy from raw total energies: 0.2375 eV per atom. The density of states at the Fermi level comes out at 3.65 states/eV/cell. For the total energy, the calculation gives -2.923 eV/atom.

The structure in CIF format:
```
data_AgAsBr2O
_chemical_formula_sum 'Ag1 As1 Br2 O1'
_symmetry_space_group_name_H-M 'P 1'
_symmetry_Int_Tables_number 1
_cell_length_a 5.863
_cell_length_b 5.863
_cell_length_c 3.671
_cell_angle_alpha 90.00
_cell_angle_beta 90.00
_cell_angle_gamma 90.00
loop_
_symmetry_equiv_pos_as_xyz
'x,y,z'
loop_
_atom_site_label
_atom_site_fract_x
_atom_site_fract_y
_atom_site_fract_z
Ag1 0.000 0.000 0.000
As1 0.500 0.500 0.000
Br1 0.000 0.500 0.500
Br2 0.500 0.000 0.500
O1 0.500 0.500 0.500
```



Record 5
DFT (PBE) results for Ba2AlFe after structural relaxation.

Output
The symmetry is Cm, No. 8. The density of states at the Fermi level comes out at 7.49 states/eV/cell. For the total energy, the calculation gives -3.847 eV/atom. As for the formation energy from the elements: 0.17 eV per atom.

The structure in CIF format:
```
data_Ba2AlFe
_chemical_formula_sum 'Ba2 Al1 Fe1'
_symmetry_space_group_name_H-M 'P 1'
_symmetry_Int_Tables_number 1
_cell_length_a 4.475
_cell_length_b 4.475
_cell_length_c 9.139
_cell_angle_alpha 104.21
_cell_angle_beta 104.21
_cell_angle_gamma 60.06
loop_
_symmetry_equiv_pos_as_xyz
'x,y,z'
loop_
_atom_site_label
_atom_site_fract_x
_atom_site_fract_y
_atom_site_fract_z
Ba1 0.000 0.000 0.000
Ba2 0.171 0.171 0.512
Al1 0.752 0.752 0.256
Fe1 0.419 0.419 0.256
```



Record 6
DFT (PBE) results for YSc3Se after structural relaxation.

Output
The symmetry is Pm-3m, No. 221. As for the formation energy from raw total energies: -0.4104 eV per atom. The density of states at the Fermi level comes out at 10.58 states/eV/cell. For the total energy, the calculation gives -6.199 eV/atom.

The structure in CIF format:
```
data_YSc3Se
_chemical_formula_sum 'Y1 Sc3 Se1'
_symmetry_space_group_name_H-M 'P 1'
_symmetry_Int_Tables_number 1
_cell_length_a 5.123
_cell_length_b 5.123
_cell_length_c 5.123
_cell_angle_alpha 90.00
_cell_angle_beta 90.00
_cell_angle_gamma 90.00
loop_
_symmetry_equiv_pos_as_xyz
'x,y,z'
loop_
_atom_site_label
_atom_site_fract_x
_atom_site_fract_y
_atom_site_fract_z
Y1 0.000 0.000 0.000
Sc1 0.000 0.500 0.500
Sc2 0.500 0.000 0.500
Sc3 0.500 0.500 0.000
Se1 0.500 0.500 0.500
```